# BiWIF2 GGA+U optimized geometry
data_BiWIF2
_symmetry_space_group_name_H-M 'P 4/m m m'
_symmetry_Int_Tables_number 123
_symmetry_space_group_name_Hall '-P 4 2'
_cell_length_a 4.4044
_cell_length_b 4.4044
_cell_length_c 6.1446
_cell_angle_alpha 90.00
_cell_angle_beta 90.00
_cell_angle_gamma 90.00
loop_
_atom_site_label
_atom_site_type_symbol
_atom_site_fract_x
_atom_site_fract_y
_atom_site_fract_z
Bi1 Bi 0.0000 0.0000 0.0000
W1 W 0.0000 0.0000 0.5000
I1 I 0.5000 0.5000 0.0000
F1 F 0.0000 0.5000 0.5000
# Total energy: -22.05 eV/cell
# Crystal system: tetragonal